First-principles (PBE) data for CaFeRh after structural relaxation, as listed in the Alexandria database.

Unit cell a=5.2680 b=5.2680 c=5.2680 alpha=91.95 beta=115.89 gamma=121.96
Last column: nearest neighbours and their distance in Å.
Fractional positions:
Ca 0.7500 0.8739 0.6239  6 Fe 3.04-3.21, 6 Rh 3.06-3.07, 4 Ca 3.13-3.35
Rh 0.0000 0.5000 0.5000  4 Fe 2.63, 2 Rh 2.80
Rh 0.5000 0.5000 0.0000  4 Fe 2.63, 2 Rh 2.80
Ca 0.2500 0.1261 0.3761  6 Fe 3.04-3.21, 6 Rh 3.06-3.07, 4 Ca 3.13-3.35
Fe 0.0000 0.5000 0.0000  2 Fe 2.56, 4 Rh 2.63
Fe 0.5000 0.0000 0.0000  2 Fe 2.56, 4 Rh 2.63



First-principles (PBE) data for Ca2Fe2Rh after structural relaxation, as listed in the Alexandria database.

Unit cell a=6.4239 b=6.4239 c=4.6893 alpha=90.00 beta=90.00 gamma=90.00
Last column: nearest neighbours and their distance in Å.
Fractional positions:
Ca 0.8176 0.3176 0.5000  6 Fe 2.93-3.09
Ca 0.1824 0.6824 0.5000  6 Fe 2.93-3.09
Fe 0.6247 0.1247 0.0000  1 Fe 2.27
Rh 0.5000 0.5000 0.0000  4 Fe 2.54
Fe 0.3753 0.8753 0.0000  1 Fe 2.27
Rh 0.0000 0.0000 0.0000  4 Fe 2.54
Ca 0.6824 0.8176 0.5000  6 Fe 2.93-3.09
Fe 0.8753 0.6247 0.0000  1 Fe 2.27
Ca 0.3176 0.1824 0.5000  6 Fe 2.93-3.09
Fe 0.1247 0.3753 0.0000  1 Fe 2.27



First-principles (PBE) data for CaFeRh after structural relaxation, as listed in the Alexandria database.

Unit cell a=4.1073 b=4.1073 c=4.2334 alpha=90.00 beta=90.00 gamma=120.00
Last column: nearest neighbours and their distance in Å.
Fractional positions:
Fe 0.6667 0.3333 0.4903  3 Rh 2.37
Rh 0.3333 0.6667 0.5098  3 Fe 2.37
Ca 0.0000 0.0000 0.9999  6 Rh 3.15-3.21, 6 Fe 3.15-3.21



First-principles (PBE) data for CaFeRh2 after structural relaxation, as listed in the Alexandria database.

Unit cell a=5.1251 b=5.1251 c=5.1251 alpha=135.18 beta=135.18 gamma=65.25
Last column: nearest neighbours and their distance in Å.
Fractional positions:
Ca 0.5000 0.5000 0.0000  8 Rh 2.76-2.91, 4 Fe 2.91
Fe 0.7500 0.2500 0.5000  8 Rh 2.76-2.91, 4 Ca 2.91
Rh 0.2500 0.7500 0.5000  4 Fe 2.76, 4 Ca 2.91, 4 Rh 2.91
Rh 0.0000 0.0000 0.0000  4 Ca 2.76, 4 Rh 2.91, 4 Fe 2.91



Spin magnetization? In order: 2.688, 4.708, 3.015, 3.961 μB/f.u..
Energy of formation from the pure elements? In order: -0.174, 0.152, 0.047, 0.135 eV per atom.